First-principles (PBE) data for crystalline Sr2CoN at its relaxed geometry, as listed in the Alexandria database.

Cell: 3.5552 5.3430 5.3430 Å, 90.00 90.00 90.00°
Closest atoms and distances in Å follow each position.
Element x y z (fractional)
Sr (0.0000, 0.5000, 0.0000)  2 N 2.67
Sr (0.0000, 0.0000, 0.5000)  2 N 2.67
Co (0.5000, 0.0000, 0.0000)  2 N 1.78
N (0.0000, 0.0000, 0.0000)  2 Co 1.78

## Properties
* energy: -5.0845 eV/atom
* M_tot: 0.0 μB/f.u.
* symmetry: No. 123
* formation energy without anion corrections: -0.3858 eV per atom